! YMg2TlNi PBE-GGA optimized geometry; values from VASP
! Mass density (g/cm³): 5.4
! Final energy (eV/atom): -3.677
&SYSTEM
  ibrav = 0, nat = 5, ntyp = 4
/
ATOMIC_SPECIES
Tl 204.38 Tl.upf
Mg 24.30 Mg.upf
Ni 58.69 Ni.upf
Y 88.91 Y.upf
CELL_PARAMETERS angstrom
4.932 0.000 0.000
0.000 4.932 0.000
0.000 0.000 5.025
ATOMIC_POSITIONS crystal
Tl 0.500 0.500 0.500
Mg 0.000 0.500 0.000
Mg 0.500 0.000 0.000
Ni 0.000 0.000 0.000
Y 0.000 0.000 0.500

=====

! TmMgNi10 PBE-GGA optimized geometry; values from VASP
! Mass density (g/cm³): 8.2
! Final energy (eV/atom): -5.501
&SYSTEM
  ibrav = 0, nat = 12, ntyp = 3
/
ATOMIC_SPECIES
Ni 58.69 Ni.upf
Mg 24.30 Mg.upf
Tm 168.93 Tm.upf
CELL_PARAMETERS angstrom
-3.717 -0.796 1.176
-0.153 -3.720 -3.002
2.938 -4.924 5.953
ATOMIC_POSITIONS crystal
Ni 0.500 0.250 0.251
Ni 0.500 0.000 0.500
Ni 0.500 0.750 0.251
Ni 0.500 0.500 0.000
Ni 0.500 0.750 0.749
Ni 0.000 0.000 0.339
Ni 0.000 0.000 0.661
Ni 0.000 0.500 0.826
Ni 0.500 0.250 0.749
Ni 0.000 0.500 0.174
Mg 0.000 0.500 0.500
Tm 0.000 0.000 0.000

=====

! Tm3MgNi PBE-GGA optimized geometry; values from VASP
! Mass density (g/cm³): 7.6
! Final energy (eV/atom): -4.302
&SYSTEM
  ibrav = 0, nat = 10, ntyp = 3
/
ATOMIC_SPECIES
Tm 168.93 Tm.upf
Ni 58.69 Ni.upf
Mg 24.30 Mg.upf
CELL_PARAMETERS angstrom
5.380 0.000 0.000
-2.690 5.777 -0.926
0.000 -2.276 8.660
ATOMIC_POSITIONS crystal
Tm 0.387 0.773 0.089
Tm 0.162 0.324 0.671
Tm 0.613 0.227 0.911
Tm 0.107 0.215 0.225
Tm 0.893 0.785 0.775
Tm 0.838 0.676 0.329
Ni 0.140 0.280 0.951
Ni 0.860 0.720 0.049
Mg 0.611 0.221 0.455
Mg 0.389 0.779 0.545

=====

! TmMg4Ni PBE-GGA optimized geometry; values from VASP
! Mass density (g/cm³): 4.1
! Final energy (eV/atom): -2.803
&SYSTEM
  ibrav = 0, nat = 12, ntyp = 3
/
ATOMIC_SPECIES
Tm 168.93 Tm.upf
Mg 24.30 Mg.upf
Ni 58.69 Ni.upf
CELL_PARAMETERS angstrom
-0.015 -4.710 2.492
6.848 0.078 0.190
-3.630 5.664 4.977
ATOMIC_POSITIONS crystal
Tm 0.793 0.793 0.585
Tm 0.207 0.207 0.415
Mg 0.160 0.660 0.320
Mg 0.840 0.340 0.680
Mg 0.390 0.122 0.780
Mg 0.610 0.878 0.220
Mg 0.610 0.342 0.220
Mg 0.000 0.799 0.000
Mg 0.000 0.201 0.000
Mg 0.390 0.658 0.780
Ni 0.273 0.500 0.001
Ni 0.727 0.500 0.999

=====

! TmMgNi17 PBE-GGA optimized geometry; values from VASP
! Mass density (g/cm³): 8.5
! Final energy (eV/atom): -5.588
&SYSTEM
  ibrav = 0, nat = 19, ntyp = 3
/
ATOMIC_SPECIES
Ni 58.69 Ni.upf
Mg 24.30 Mg.upf
Tm 168.93 Tm.upf
CELL_PARAMETERS angstrom
-1.298 5.346 -2.867
-3.909 2.238 4.266
4.103 3.525 3.037
ATOMIC_POSITIONS crystal
Ni 0.346 0.850 0.346
Ni 0.001 0.296 0.703
Ni 0.346 0.346 0.850
Ni 0.703 0.001 0.296
Ni 0.101 0.101 0.101
Ni 0.502 0.998 0.998
Ni 0.650 0.650 0.159
Ni 0.902 0.902 0.902
Ni 0.001 0.703 0.296
Ni 0.296 0.001 0.703
Ni 0.159 0.650 0.650
Ni 0.703 0.296 0.001
Ni 0.296 0.703 0.001
Ni 0.650 0.159 0.650
Ni 0.850 0.346 0.346
Ni 0.998 0.502 0.998
Ni 0.998 0.998 0.502
Mg 0.340 0.340 0.340
Tm 0.660 0.660 0.660

=====

! Tm3Mg2Ni2 PBE-GGA optimized geometry; values from VASP
! Mass density (g/cm³): 7.2
! Final energy (eV/atom): -4.325
&SYSTEM
  ibrav = 0, nat = 7, ntyp = 3
/
ATOMIC_SPECIES
Mg 24.30 Mg.upf
Tm 168.93 Tm.upf
Ni 58.69 Ni.upf
CELL_PARAMETERS angstrom
3.838 0.000 0.509
0.000 3.627 0.000
0.472 0.000 11.157
ATOMIC_POSITIONS crystal
Mg 0.589 0.500 0.822
Mg 0.411 0.500 0.178
Tm 0.179 0.000 0.642
Tm 0.000 0.000 0.000
Tm 0.821 0.000 0.358
Ni 0.282 0.500 0.435
Ni 0.718 0.500 0.565